(1)
## K2MoRh (PBE)

Data for crystalline K2MoRh at its relaxed geometry.

Formation energy in eV per atom: 1.68
Relative energy among the computed polymorphs in eV per atom: 1.058

Lattice parameters (Å, degrees): 7.6789 7.6789 7.6789 90.00 90.00 90.00
Last column: nearest neighbours and their distance in Å.
Space group Fm-3m (No. 225)
Symmetry-distinct sites (fractional):
1 K 0.2500 0.2500 0.2500 (multiplicity 8)  4 Mo 3.33, 4 Rh 3.33
2 Mo 0.0000 0.0000 0.0000 (multiplicity 4)  8 K 3.33
3 Rh 0.0000 0.0000 0.5000 (multiplicity 4)  8 K 3.33

---

(2)
## Rb2Cd6GaAg (PBE)

Data for crystalline Rb2Cd6GaAg at its relaxed geometry.

Formation energy in eV per atom: -0.03

Lattice parameters (Å, degrees): 7.5814 7.5914 7.6615 60.44 60.47 60.12
Last column: nearest neighbours and their distance in Å.
Space group P-1 (No. 2)
Symmetry-distinct sites (fractional):
1 Rb 0.1997 0.2008 0.4009 (multiplicity 2)  1 Ag 3.77, 12 Cd 3.82-4.20
2 Cd 0.2423 0.2503 0.8619 (multiplicity 2)  1 Ag 2.77, 1 Ga 2.87, 2 Cd 3.04-3.05
3 Cd 0.2526 0.6503 0.8551 (multiplicity 2)  1 Ag 2.77, 1 Ga 2.85, 2 Cd 3.05-3.06
4 Cd 0.3508 0.7569 0.1436 (multiplicity 2)  1 Ag 2.77, 1 Ga 2.85, 2 Cd 3.04-3.06
5 Ga 0.5000 0.5000 0.5000 (multiplicity 1)  6 Cd 2.85-2.87
6 Ag 0.0000 0.0000 0.0000 (multiplicity 1)  6 Cd 2.77

---

(3)
## Pm4NdMg2 (PBE)

Data for crystalline Pm4NdMg2 at its relaxed geometry.

Formation energy in eV per atom: 0.33

Lattice parameters (Å, degrees): 6.0311 6.0311 12.8462 90.00 90.00 90.00
Last column: nearest neighbours and their distance in Å.
Space group I4/mmm (No. 139)
Symmetry-distinct sites (fractional):
1 Pm 0.0000 0.5000 0.0000 (multiplicity 4)  2 Nd 3.02, 2 Pm 3.21
2 Pm 0.0000 0.5000 0.2500 (multiplicity 4)  2 Pm 3.21, 4 Mg 3.42
3 Nd 0.0000 0.0000 0.0000 (multiplicity 2)  4 Pm 3.02
4 Mg 0.0000 0.0000 0.3756 (multiplicity 4)  1 Mg 3.20, 8 Pm 3.41-3.42

---

(4)
## V6FeCo (PBE)

Data for crystalline V6FeCo at its relaxed geometry.

Formation energy in eV per atom: -0.19
Relative energy among the computed polymorphs in eV per atom: 0.000

Lattice parameters (Å, degrees): 4.6444 4.6444 4.6444 90.00 90.00 90.00
Last column: nearest neighbours and their distance in Å.
Space group Pm-3 (No. 200)
Symmetry-distinct sites (fractional):
1 V 0.0000 0.2510 0.5000 (multiplicity 6)  2 V 2.31-2.33
2 Fe 0.5000 0.5000 0.5000 (multiplicity 1)  12 V 2.59
3 Co 0.0000 0.0000 0.0000 (multiplicity 1)  12 V 2.60

---

(5)
## CsCa4Cl8 (PBE)

Data for crystalline CsCa4Cl8 at its relaxed geometry.

Relative energy among the computed polymorphs in eV per atom: 0.000
Formation energy without anion corrections in kJ/mol of formula units: -2691.2

Lattice parameters (Å, degrees): 12.3348 12.3348 12.3348 90.00 90.00 90.00
Last column: nearest neighbours and their distance in Å.
Space group F-43m (No. 216)
Symmetry-distinct sites (fractional):
1 Cs 0.0000 0.0000 0.0000 (multiplicity 4)  4 Cl 3.20
2 Ca 0.1219 0.1219 0.6219 (multiplicity 16)  6 Cl 2.82-2.86
3 Cl 0.1057 0.1057 0.3943 (multiplicity 16)  3 Ca 2.82
4 Cl 0.1500 0.1500 0.8500 (multiplicity 16)  3 Ca 2.86

---

(6)
## LiFeAs (PBE)

Data for crystalline LiFeAs at its relaxed geometry.

Formation energy in eV per atom: 0.09

Lattice parameters (Å, degrees): 4.9449 4.9449 6.9821 90.00 90.00 90.00
Last column: nearest neighbours and their distance in Å.
Space group P4_122 (No. 91)
Symmetry-distinct sites (fractional):
1 Li 0.0000 0.2004 0.0000 (multiplicity 4)  2 Li 2.24, 4 As 2.39-2.49
2 Fe 0.3136 0.3136 0.3750 (multiplicity 4)  2 Fe 2.54, 2 As 2.58
3 As 0.1397 0.5000 0.7500 (multiplicity 4)  4 Li 2.39-2.49, 2 Fe 2.58

---

(7)
## Ba2HIrBr (PBE)

Data for crystalline Ba2HIrBr at its relaxed geometry.

Lattice parameters (Å, degrees): 5.7352 5.7352 3.7934 90.00 90.00 90.00
Last column: nearest neighbours and their distance in Å.
Space group P4/mmm (No. 123)
Symmetry-distinct sites (fractional):
1 Ba 0.0000 0.5000 0.0000 (multiplicity 2)  2 H 2.87
2 H 0.0000 0.0000 0.0000 (multiplicity 1)  2 Ir 1.90
3 Ir 0.0000 0.0000 0.5000 (multiplicity 1)  2 H 1.90
4 Br 0.5000 0.5000 0.5000 (multiplicity 1)  8 Ba 3.44, 2 Br 3.79

---

(8)
## TlBr2Cl (PBE)

Data for crystalline TlBr2Cl at its relaxed geometry.

Relative energy among the computed polymorphs in eV per atom: 0.029
Formation energy without anion corrections in kJ/mol of formula units: -183.1

Lattice parameters (Å, degrees): 4.0289 5.2948 7.5217 87.43 75.08 89.99
Last column: nearest neighbours and their distance in Å.
Space group P1 (No. 1)
Symmetry-distinct sites (fractional):
1 Tl 0.0000 0.0000 0.0000 (multiplicity 1)  2 Cl 2.67, 4 Br 2.75-2.85
2 Br 0.3825 0.9828 0.2673 (multiplicity 1)  2 Tl 2.77-2.83
3 Br 0.6445 0.0170 0.7323 (multiplicity 1)  2 Tl 2.75-2.85
4 Cl 0.0858 0.5000 0.9997 (multiplicity 1)  2 Tl 2.67

---

Density (g cm⁻³)
4.06, 5.41, 5.49, 6.97, 2.04, 5.36, 7.29, 4.28
Uncorrected energy (eV/atom)
-3.42, -1.36, -3.52, -8.97, -3.96, -4.92, -4.25, -2.36